(1)
# GGA+U KCeNiF6, relaxed
data_KCeNiF6
_chemical_formula_sum 'K2 Ce2 Ni2 F12'
_space_group_name_H-M_alt 'P 1'
_space_group_IT_number 1
_cell_length_a 5.8925
_cell_length_b 5.8925
_cell_length_c 10.7282
_cell_angle_alpha 90.00
_cell_angle_beta 90.00
_cell_angle_gamma 120.00
loop_
_space_group_symop_operation_xyz
'x,y,z'
loop_
_atom_site_label
_atom_site_fract_x
_atom_site_fract_y
_atom_site_fract_z
Ce1 0.3333 0.6667 0.2500
Ni1 0.3333 0.6667 0.7500
F1 0.0344 0.6479 0.8546
F2 0.3521 0.3866 0.8546
K1 0.0000 0.0000 0.5000
Ni2 0.6667 0.3333 0.2500
F3 0.6134 0.6479 0.6454
F4 0.3866 0.0344 0.1454
F5 0.6479 0.0344 0.3546
F6 0.3521 0.9656 0.6454
F7 0.0344 0.3866 0.6454
K2 0.0000 0.0000 0.0000
F8 0.6134 0.9656 0.8546
Ce2 0.6667 0.3333 0.7500
F9 0.3866 0.3521 0.3546
F10 0.6479 0.6134 0.1454
F11 0.9656 0.6134 0.3546
F12 0.9656 0.3521 0.1454
# ρ, g/cm3: 3.6
# Total energy, eV/cell: -97.3
# Spin magnetization, μB per cell: 6.00

***

(2)
# GGA+U K2CeNi3F12, relaxed
data_K2CeNi3F12
_chemical_formula_sum 'K2 Ce1 Ni3 F12'
_space_group_name_H-M_alt 'P 1'
_space_group_IT_number 1
_cell_length_a 7.0009
_cell_length_b 7.0009
_cell_length_c 7.0009
_cell_angle_alpha 63.90
_cell_angle_beta 63.90
_cell_angle_gamma 63.90
loop_
_space_group_symop_operation_xyz
'x,y,z'
loop_
_atom_site_label
_atom_site_fract_x
_atom_site_fract_y
_atom_site_fract_z
F1 0.8876 0.2713 0.2713
F2 0.8730 0.3835 0.8730
K1 0.3907 0.3907 0.3907
F3 0.7287 0.1124 0.7287
Ni1 0.0000 0.0000 0.5000
F4 0.8730 0.8730 0.3835
Ce1 0.0000 0.0000 0.0000
F5 0.2713 0.2713 0.8876
F6 0.7287 0.7287 0.1124
Ni2 0.0000 0.5000 0.0000
Ni3 0.5000 0.0000 0.0000
F7 0.1124 0.7287 0.7287
F8 0.6165 0.1270 0.1270
K2 0.6093 0.6093 0.6093
F9 0.1270 0.6165 0.1270
F10 0.2713 0.8876 0.2713
F11 0.1270 0.1270 0.6165
F12 0.3835 0.8730 0.8730
# ρ, g/cm3: 3.9
# Total energy, eV/cell: -87.3
# Spin magnetization, μB per cell: 6.11